[1]
# Tb4Pr3Dy3, optimized geometry, DFT PBE
# - crystal system = orthorhombic
# - ΔE_f (eV/atom) = 0.10
# - size of the total moment (Bohr magnetons per cell) = 0.00
# - density (g/cm3) = 7.6
data_Tb4Pr3Dy3
_chemical_formula_sum 'Tb8 Pr6 Dy6'
_cell_length_a 3.721
_cell_length_b 13.406
_cell_length_c 13.492
_cell_angle_alpha 90.00
_cell_angle_beta 90.00
_cell_angle_gamma 90.00
_symmetry_space_group_name_H-M 'A m m 2'
_symmetry_Int_Tables_number 38
_symmetry_space_group_name_Hall 'A 2 -2'
loop_
_atom_site_label
_atom_site_type_symbol
_atom_site_fract_x
_atom_site_fract_y
_atom_site_fract_z
Tb1 Tb 0.000 0.000 0.000
Tb2 Tb 0.000 0.000 0.254
Tb3 Tb 0.000 0.125 0.631
Pr1 Pr 0.500 0.000 0.455
Pr2 Pr 0.500 0.174 0.127
Dy1 Dy 0.000 0.246 0.876
Dy2 Dy 0.500 0.000 0.802

[2]
# CsRb2I, optimized geometry, DFT PBE
# - crystal system = tetragonal
# - size of the total moment (Bohr magnetons per cell) = 0.01
# - relative energy among the computed polymorphs (meV/atom) = 31
# - density (g/cm3) = 2.5
data_CsRb2I
_chemical_formula_sum 'Cs1 Rb2 I1'
_cell_length_a 4.698
_cell_length_b 4.698
_cell_length_c 13.173
_cell_angle_alpha 90.00
_cell_angle_beta 90.00
_cell_angle_gamma 90.00
_symmetry_space_group_name_H-M 'P 4/m m m'
_symmetry_Int_Tables_number 123
_symmetry_space_group_name_Hall '-P 4 2'
loop_
_atom_site_label
_atom_site_type_symbol
_atom_site_fract_x
_atom_site_fract_y
_atom_site_fract_z
Cs1 Cs 0.000 0.000 0.000
Rb1 Rb 0.500 0.500 0.336
I1 I 0.000 0.000 0.500

[3]
# YZnCr3, optimized geometry, DFT PBE
# - crystal system = cubic
# - ΔE_f (eV/atom) = 0.93
# - size of the total moment (Bohr magnetons per cell) = 11.01
# - relative energy among the computed polymorphs (meV/atom) = 0
# - density (g/cm3) = 4.9
data_YZnCr3
_chemical_formula_sum 'Y1 Zn1 Cr3'
_cell_length_a 4.719
_cell_length_b 4.719
_cell_length_c 4.719
_cell_angle_alpha 90.00
_cell_angle_beta 90.00
_cell_angle_gamma 90.00
_symmetry_space_group_name_H-M 'P m -3 m'
_symmetry_Int_Tables_number 221
_symmetry_space_group_name_Hall '-P 4 2 3'
loop_
_atom_site_label
_atom_site_type_symbol
_atom_site_fract_x
_atom_site_fract_y
_atom_site_fract_z
Y1 Y 0.000 0.000 0.000
Zn1 Zn 0.500 0.500 0.500
Cr1 Cr 0.000 0.500 0.500

[4]
# Y2GaPd6, optimized geometry, DFT PBE
# - crystal system = monoclinic
# - ΔE_f (eV/atom) = -0.56
# - size of the total moment (Bohr magnetons per cell) = 0.00
# - density (g/cm3) = 8.3
data_Y2GaPd6
_chemical_formula_sum 'Y4 Ga2 Pd12'
_cell_length_a 13.481
_cell_length_b 7.634
_cell_length_c 3.590
_cell_angle_alpha 90.00
_cell_angle_beta 105.37
_cell_angle_gamma 90.00
_symmetry_space_group_name_H-M 'C 1 2/m 1'
_symmetry_Int_Tables_number 12
_symmetry_space_group_name_Hall '-C 2y'
loop_
_atom_site_label
_atom_site_type_symbol
_atom_site_fract_x
_atom_site_fract_y
_atom_site_fract_z
Y1 Y 0.150 0.000 0.154
Ga1 Ga 0.000 0.500 0.500
Pd1 Pd 0.000 0.274 0.000
Pd2 Pd 0.166 0.297 0.667

[5]
# HfSnP2, optimized geometry, DFT PBE
# - crystal system = tetragonal
# - ΔE_f (eV/atom) = -0.22
# - size of the total moment (Bohr magnetons per cell) = 0.00
# - density (g/cm3) = 5.4
data_HfSnP2
_chemical_formula_sum 'Hf4 Sn4 P8'
_cell_length_a 6.120
_cell_length_b 6.120
_cell_length_c 11.884
_cell_angle_alpha 90.00
_cell_angle_beta 90.00
_cell_angle_gamma 90.00
_symmetry_space_group_name_H-M 'I -4 2 d'
_symmetry_Int_Tables_number 122
_symmetry_space_group_name_Hall 'I -4 2bw'
loop_
_atom_site_label
_atom_site_type_symbol
_atom_site_fract_x
_atom_site_fract_y
_atom_site_fract_z
Hf1 Hf 0.000 0.000 0.000
Sn1 Sn 0.000 0.000 0.500
P1 P 0.217 0.250 0.125

[6]
# KSc2Ti2O7, optimized geometry, DFT PBE
# - crystal system = orthorhombic
# - size of the total moment (Bohr magnetons per cell) = 0.87
# - E_tot (eV per atom) = -8.324
# - density (g/cm3) = 3.7
data_KSc2Ti2O7
_chemical_formula_sum 'K2 Sc4 Ti4 O14'
_cell_length_a 4.157
_cell_length_b 16.936
_cell_length_c 4.304
_cell_angle_alpha 90.00
_cell_angle_beta 90.00
_cell_angle_gamma 90.00
_symmetry_space_group_name_H-M 'I m m 2'
_symmetry_Int_Tables_number 44
_symmetry_space_group_name_Hall 'I 2 -2'
loop_
_atom_site_label
_atom_site_type_symbol
_atom_site_fract_x
_atom_site_fract_y
_atom_site_fract_z
K1 K 0.000 0.000 0.000
Sc1 Sc 0.000 0.246 0.550
Ti1 Ti 0.000 0.390 0.986
O1 O 0.000 0.124 0.542
O2 O 0.000 0.265 0.054
O3 O 0.000 0.374 0.571
O4 O 0.000 0.500 0.029

[7]
# KWCl5, optimized geometry, DFT PBE
# - crystal system = monoclinic
# - size of the total moment (Bohr magnetons per cell) = 8.00
# - E_tot (eV per atom) = -4.411
# - density (g/cm3) = 2.9
data_KWCl5
_chemical_formula_sum 'K4 W4 Cl20'
_cell_length_a 14.228
_cell_length_b 7.320
_cell_length_c 9.472
_cell_angle_alpha 90.00
_cell_angle_beta 110.44
_cell_angle_gamma 90.00
_symmetry_space_group_name_H-M 'C 1 2/c 1'
_symmetry_Int_Tables_number 15
_symmetry_space_group_name_Hall '-C 2yc'
loop_
_atom_site_label
_atom_site_type_symbol
_atom_site_fract_x
_atom_site_fract_y
_atom_site_fract_z
K1 K 0.000 0.023 0.250
W1 W 0.000 0.500 0.000
Cl1 Cl 0.000 0.406 0.750
Cl2 Cl 0.124 0.273 0.528
Cl3 Cl 0.127 0.279 0.104

[8]
# Bi2AsCl, optimized geometry, DFT PBE
# - crystal system = trigonal
# - size of the total moment (Bohr magnetons per cell) = 0.00
# - relative energy among the computed polymorphs (meV/atom) = 8
# - density (g/cm3) = 7.9
data_Bi2AsCl
_chemical_formula_sum 'Bi6 As3 Cl3'
_cell_length_a 3.8358
_cell_length_b 3.8358
_cell_length_c 26.1658
_cell_angle_alpha 90.00
_cell_angle_beta 90.00
_cell_angle_gamma 120.00
_symmetry_space_group_name_H-M 'R -3 m'
_symmetry_Int_Tables_number 166
_symmetry_space_group_name_Hall '-R 3 2"'
loop_
_atom_site_label
_atom_site_type_symbol
_atom_site_fract_x
_atom_site_fract_y
_atom_site_fract_z
Bi1 Bi 0.0000 0.0000 0.2417
As1 As 0.0000 0.0000 0.5000
Cl1 Cl 0.0000 0.0000 0.0000

[9]
# OsRhPb, optimized geometry, DFT PBE
# - crystal system = tetragonal
# - ΔE_f (eV/atom) = 0.61
# - size of the total moment (Bohr magnetons per cell) = 0.00
# - relative energy among the computed polymorphs (meV/atom) = 150
# - density (g/cm3) = 15.1
data_OsRhPb
_chemical_formula_sum 'Os2 Rh2 Pb2'
_cell_length_a 3.033
_cell_length_b 3.033
_cell_length_c 11.933
_cell_angle_alpha 90.00
_cell_angle_beta 90.00
_cell_angle_gamma 90.00
_symmetry_space_group_name_H-M 'I 4 m m'
_symmetry_Int_Tables_number 107
_symmetry_space_group_name_Hall 'I 4 -2'
loop_
_atom_site_label
_atom_site_type_symbol
_atom_site_fract_x
_atom_site_fract_y
_atom_site_fract_z
Os1 Os 0.000 0.000 0.000
Rh1 Rh 0.000 0.000 0.376
Pb1 Pb 0.000 0.000 0.686

[10]
# CuPt, optimized geometry, DFT PBE
# - crystal system = triclinic
# - ΔE_f (eV/atom) = -0.13
# - size of the total moment (Bohr magnetons per cell) = 0.00
# - density (g/cm3) = 15.3
data_CuPt
_chemical_formula_sum 'Cu4 Pt4'
_cell_length_a 4.698
_cell_length_b 4.718
_cell_length_c 5.384
_cell_angle_alpha 72.14
_cell_angle_beta 89.44
_cell_angle_gamma 80.52
_symmetry_space_group_name_H-M 'P -1'
_symmetry_Int_Tables_number 2
_symmetry_space_group_name_Hall '-P 1'
loop_
_atom_site_label
_atom_site_type_symbol
_atom_site_fract_x
_atom_site_fract_y
_atom_site_fract_z
Cu1 Cu 0.122 0.250 0.437
Cu2 Cu 0.374 0.746 0.314
Pt1 Pt 0.122 0.252 0.929
Pt2 Pt 0.379 0.757 0.795

[11]
# PrNd3Hg2, optimized geometry, DFT PBE
# - crystal system = monoclinic
# - ΔE_f (eV/atom) = -0.25
# - size of the total moment (Bohr magnetons per cell) = 0.00
# - relative energy among the computed polymorphs (meV/atom) = 77
# - density (g/cm3) = 8.7
data_PrNd3Hg2
_chemical_formula_sum 'Pr4 Nd12 Hg8'
_cell_length_a 16.511
_cell_length_b 5.518
_cell_length_c 9.135
_cell_angle_alpha 90.00
_cell_angle_beta 115.94
_cell_angle_gamma 90.00
_symmetry_space_group_name_H-M 'C 1 2/m 1'
_symmetry_Int_Tables_number 12
_symmetry_space_group_name_Hall '-C 2y'
loop_
_atom_site_label
_atom_site_type_symbol
_atom_site_fract_x
_atom_site_fract_y
_atom_site_fract_z
Pr1 Pr 0.130 0.000 0.189
Nd1 Nd 0.061 0.000 0.722
Nd2 Nd 0.121 0.500 0.537
Nd3 Nd 0.194 0.500 0.008
Hg1 Hg 0.013 0.500 0.169
Hg2 Hg 0.226 0.000 0.598